Entry 1:
DFT (PBE) results for a geometry-optimized Ba2Tl5Sn4 structure.

Calculated values
The crystal system is monoclinic. The electronic total energy is -67.857 eV per cell. The energy of formation from the pure elements is -0.20 eV/atom. The total magnetic moment comes out at 0.00 μB/cell.

Structure (CIF):
```
data_Ba2Tl5Sn4
_cell_length_a 12.472
_cell_length_b 7.075
_cell_length_c 9.952
_cell_angle_alpha 90.00
_cell_angle_beta 120.79
_cell_angle_gamma 90.00
_symmetry_space_group_name_H-M 'C 1 2/m 1'
_symmetry_Int_Tables_number 12
_symmetry_space_group_name_Hall '-C 2y'
loop_
_atom_site_label
_atom_site_type_symbol
_atom_site_fract_x
_atom_site_fract_y
_atom_site_fract_z
Ba1 Ba 0.239 0.000 0.276
Tl1 Tl 0.000 0.500 0.000
Tl2 Tl 0.024 0.264 0.349
Sn1 Sn 0.184 0.000 0.897
Sn2 Sn 0.230 0.000 0.636
```


Entry 2:
DFT (PBE) results for a geometry-optimized YScPb4 structure.

Calculated values
The crystal system is cubic. The electronic total energy is -109.058 eV per cell. The energy of formation from the pure elements is 0.06 eV/atom. The total magnetic moment comes out at 0.00 μB/cell.

Structure (CIF):
```
data_YScPb4
_cell_length_a 9.020
_cell_length_b 9.020
_cell_length_c 9.020
_cell_angle_alpha 90.00
_cell_angle_beta 90.00
_cell_angle_gamma 90.00
_symmetry_space_group_name_H-M 'F -4 3 m'
_symmetry_Int_Tables_number 216
_symmetry_space_group_name_Hall 'F -4 2 3'
loop_
_atom_site_label
_atom_site_type_symbol
_atom_site_fract_x
_atom_site_fract_y
_atom_site_fract_z
Y1 Y 0.000 0.000 0.000
Sc1 Sc 0.250 0.250 0.250
Pb1 Pb 0.125 0.125 0.625
```


Entry 3:
DFT (PBE) results for a geometry-optimized Ba6Na23Cd structure.

Calculated values
The crystal system is cubic. The electronic total energy is -174.501 eV per cell. The energy of formation from the pure elements is -0.03 eV/atom. The total magnetic moment comes out at 0.00 μB/cell.

Structure (CIF):
```
data_Ba6Na23Cd
_cell_length_a 17.153
_cell_length_b 17.153
_cell_length_c 17.153
_cell_angle_alpha 90.00
_cell_angle_beta 90.00
_cell_angle_gamma 90.00
_symmetry_space_group_name_H-M 'F m -3 m'
_symmetry_Int_Tables_number 225
_symmetry_space_group_name_Hall '-F 4 2 3'
loop_
_atom_site_label
_atom_site_type_symbol
_atom_site_fract_x
_atom_site_fract_y
_atom_site_fract_z
Ba1 Ba 0.000 0.000 0.202
Na1 Na 0.000 0.000 0.500
Na2 Na 0.000 0.250 0.250
Na3 Na 0.119 0.119 0.381
Na4 Na 0.171 0.171 0.171
Cd1 Cd 0.000 0.000 0.000
```


Entry 4:
DFT (PBE) results for a geometry-optimized CaDy6Y structure.

Calculated values
The crystal system is monoclinic. The electronic total energy is -71.070 eV per cell. The energy of formation from the pure elements is 0.07 eV/atom. The total magnetic moment comes out at 0.00 μB/cell.

Structure (CIF):
```
data_CaDy6Y
_cell_length_a 11.306
_cell_length_b 5.062
_cell_length_c 10.137
_cell_angle_alpha 90.00
_cell_angle_beta 116.69
_cell_angle_gamma 90.00
_symmetry_space_group_name_H-M 'C 1 2/m 1'
_symmetry_Int_Tables_number 12
_symmetry_space_group_name_Hall '-C 2y'
loop_
_atom_site_label
_atom_site_type_symbol
_atom_site_fract_x
_atom_site_fract_y
_atom_site_fract_z
Ca1 Ca 0.000 0.000 0.000
Dy1 Dy 0.002 0.500 0.743
Dy2 Dy 0.247 0.000 0.870
Dy3 Dy 0.248 0.500 0.620
Y1 Y 0.000 0.000 0.500
```


Entry 5:
DFT (PBE) results for a geometry-optimized MnCuS2 structure.

Calculated values
The crystal system is monoclinic. The electronic total energy is -45.373 eV per cell. For the uncorrected formation energy, the calculation gives -0.2914 eV/atom. The total magnetic moment comes out at 3.80 μB/cell.

Structure (CIF):
```
data_MnCuS2
_cell_length_a 6.528
_cell_length_b 3.795
_cell_length_c 6.927
_cell_angle_alpha 90.00
_cell_angle_beta 109.72
_cell_angle_gamma 90.00
_symmetry_space_group_name_H-M 'P 1 21/m 1'
_symmetry_Int_Tables_number 11
_symmetry_space_group_name_Hall '-P 2yb'
loop_
_atom_site_label
_atom_site_type_symbol
_atom_site_fract_x
_atom_site_fract_y
_atom_site_fract_z
Mn1 Mn 0.124 0.250 0.113
Cu1 Cu 0.439 0.750 0.079
S1 S 0.026 0.750 0.223
S2 S 0.483 0.250 0.254
```


Entry 6:
DFT (PBE) results for a geometry-optimized SrSn2Bi2 structure.

Calculated values
The crystal system is tetragonal. The electronic total energy is -36.491 eV per cell. The energy of formation from the pure elements is -0.16 eV/atom. The total magnetic moment comes out at 0.00 μB/cell.

Structure (CIF):
```
data_SrSn2Bi2
_cell_length_a 4.789
_cell_length_b 4.789
_cell_length_c 15.099
_cell_angle_alpha 90.00
_cell_angle_beta 90.00
_cell_angle_gamma 90.00
_symmetry_space_group_name_H-M 'I 4/m m m'
_symmetry_Int_Tables_number 139
_symmetry_space_group_name_Hall '-I 4 2'
loop_
_atom_site_label
_atom_site_type_symbol
_atom_site_fract_x
_atom_site_fract_y
_atom_site_fract_z
Sr1 Sr 0.000 0.000 0.000
Sn1 Sn 0.000 0.000 0.403
Bi1 Bi 0.000 0.500 0.250
```


Entry 7:
DFT (PBE) results for a geometry-optimized NaTlB2Cl8 structure.

Calculated values
The crystal system is trigonal. The electronic total energy is -135.520 eV per cell. For the uncorrected formation energy, the calculation gives -1.1133 eV/atom. The total magnetic moment comes out at 0.00 μB/cell.

Structure (CIF):
```
data_NaTlB2Cl8
_cell_length_a 6.2127
_cell_length_b 6.2127
_cell_length_c 27.8152
_cell_angle_alpha 90.00
_cell_angle_beta 90.00
_cell_angle_gamma 120.00
_symmetry_space_group_name_H-M 'R -3'
_symmetry_Int_Tables_number 148
_symmetry_space_group_name_Hall '-R 3'
loop_
_atom_site_label
_atom_site_type_symbol
_atom_site_fract_x
_atom_site_fract_y
_atom_site_fract_z
Na1 Na 0.0000 0.0000 0.0000
Tl1 Tl 0.0000 0.0000 0.5000
B1 B 0.0000 0.0000 0.2483
Cl1 Cl 0.0000 0.0000 0.1814
Cl2 Cl 0.0272 0.7303 0.2701
```


Entry 8:
DFT (PBE) results for a geometry-optimized YTa2Os structure.

Calculated values
The crystal system is tetragonal. The electronic total energy is -40.047 eV per cell. The energy of formation from the pure elements is 0.34 eV/atom. The total magnetic moment comes out at 0.00 μB/cell. For the distance to the lowest polymorph of the same formula, the calculation gives 336 meV per atom.

Structure (CIF):
```
data_YTa2Os
_cell_length_a 3.994
_cell_length_b 3.994
_cell_length_c 4.846
_cell_angle_alpha 90.00
_cell_angle_beta 90.00
_cell_angle_gamma 90.00
_symmetry_space_group_name_H-M 'P 4/m m m'
_symmetry_Int_Tables_number 123
_symmetry_space_group_name_Hall '-P 4 2'
loop_
_atom_site_label
_atom_site_type_symbol
_atom_site_fract_x
_atom_site_fract_y
_atom_site_fract_z
Y1 Y 0.000 0.000 0.000
Ta1 Ta 0.000 0.500 0.500
Os1 Os 0.500 0.500 0.000
```


Entry 9:
DFT (PBE) results for a geometry-optimized PPtPb structure.

Calculated values
The crystal system is tetragonal. The electronic total energy is -30.845 eV per cell. The energy of formation from the pure elements is -0.09 eV/atom. The total magnetic moment comes out at 0.00 μB/cell. For the distance to the lowest polymorph of the same formula, the calculation gives 207 meV per atom.

Structure (CIF):
```
data_PPtPb
_cell_length_a 3.232
_cell_length_b 3.232
_cell_length_c 12.138
_cell_angle_alpha 90.00
_cell_angle_beta 90.00
_cell_angle_gamma 90.00
_symmetry_space_group_name_H-M 'I 4 m m'
_symmetry_Int_Tables_number 107
_symmetry_space_group_name_Hall 'I 4 -2'
loop_
_atom_site_label
_atom_site_type_symbol
_atom_site_fract_x
_atom_site_fract_y
_atom_site_fract_z
P1 P 0.000 0.000 0.000
Pt1 Pt 0.000 0.000 0.577
Pb1 Pb 0.000 0.000 0.271
```


Entry 10:
DFT (PBE) results for a geometry-optimized TbNd4Pu3S8 structure.

Calculated values
The crystal system is trigonal. The electronic total energy is -392.516 eV per cell. For the uncorrected formation energy, the calculation gives -1.9451 eV/atom. The total magnetic moment comes out at 50.36 μB/cell.

Structure (CIF):
```
data_TbNd4Pu3S8
_cell_length_a 7.9955
_cell_length_b 7.9955
_cell_length_c 19.7415
_cell_angle_alpha 90.00
_cell_angle_beta 90.00
_cell_angle_gamma 120.00
_symmetry_space_group_name_H-M 'R -3 m'
_symmetry_Int_Tables_number 166
_symmetry_space_group_name_Hall '-R 3 2"'
loop_
_atom_site_label
_atom_site_type_symbol
_atom_site_fract_x
_atom_site_fract_y
_atom_site_fract_z
Tb1 Tb 0.0000 0.0000 0.0000
Nd1 Nd 0.0000 0.0000 0.5000
Nd2 Nd 0.0000 0.5000 0.5000
Pu1 Pu 0.0000 0.5000 0.0000
S1 S 0.0000 0.0000 0.2538
S2 S 0.0008 0.5004 0.7464
```


Entry 11:
DFT (PBE) results for a geometry-optimized CeTlIn2Br8 structure.

Calculated values
The crystal system is monoclinic. The electronic total energy is -39.897 eV per cell. For the uncorrected formation energy, the calculation gives -1.0614 eV/atom. The total magnetic moment comes out at 0.54 μB/cell.

Structure (CIF):
```
data_CeTlIn2Br8
_cell_length_a 6.828
_cell_length_b 9.389
_cell_length_c 7.181
_cell_angle_alpha 90.00
_cell_angle_beta 90.05
_cell_angle_gamma 90.00
_symmetry_space_group_name_H-M 'P 1 2/m 1'
_symmetry_Int_Tables_number 10
_symmetry_space_group_name_Hall '-P 2y'
loop_
_atom_site_label
_atom_site_type_symbol
_atom_site_fract_x
_atom_site_fract_y
_atom_site_fract_z
Ce1 Ce 0.000 0.000 0.000
Tl1 Tl 0.000 0.500 0.000
In1 In 0.500 0.256 0.500
Br1 Br 0.236 0.218 0.161
Br2 Br 0.257 0.000 0.681
Br3 Br 0.288 0.500 0.636
```


Entry 12:
DFT (PBE) results for a geometry-optimized Tb2YHg2 structure.

Calculated values
The crystal system is orthorhombic. The electronic total energy is -73.256 eV per cell. The energy of formation from the pure elements is -0.40 eV/atom. The total magnetic moment comes out at 0.00 μB/cell. For the distance to the lowest polymorph of the same formula, the calculation gives 0 meV per atom.

Structure (CIF):
```
data_Tb2YHg2
_cell_length_a 3.762
_cell_length_b 27.288
_cell_length_c 5.307
_cell_angle_alpha 90.00
_cell_angle_beta 90.00
_cell_angle_gamma 90.00
_symmetry_space_group_name_H-M 'C m c m'
_symmetry_Int_Tables_number 63
_symmetry_space_group_name_Hall '-C 2c 2'
loop_
_atom_site_label
_atom_site_type_symbol
_atom_site_fract_x
_atom_site_fract_y
_atom_site_fract_z
Tb1 Tb 0.000 0.047 0.250
Tb2 Tb 0.000 0.235 0.250
Y1 Y 0.000 0.146 0.750
Hg1 Hg 0.000 0.356 0.750
Hg2 Hg 0.000 0.452 0.250
```


Entry 13:
DFT (PBE) results for a geometry-optimized Ba2CrMo structure.

Calculated values
The crystal system is tetragonal. The electronic total energy is -39.459 eV per cell. The energy of formation from the pure elements is 1.14 eV/atom. The total magnetic moment comes out at 2.37 μB/cell. For the distance to the lowest polymorph of the same formula, the calculation gives 416 meV per atom.

Structure (CIF):
```
data_Ba2CrMo
_cell_length_a 5.570
_cell_length_b 5.570
_cell_length_c 7.918
_cell_angle_alpha 90.00
_cell_angle_beta 90.00
_cell_angle_gamma 90.00
_symmetry_space_group_name_H-M 'I -4 m 2'
_symmetry_Int_Tables_number 119
_symmetry_space_group_name_Hall 'I -4 -2'
loop_
_atom_site_label
_atom_site_type_symbol
_atom_site_fract_x
_atom_site_fract_y
_atom_site_fract_z
Ba1 Ba 0.000 0.000 0.000
Ba2 Ba 0.000 0.500 0.250
Cr1 Cr 0.000 0.500 0.750
Mo1 Mo 0.000 0.000 0.500
```


Entry 14:
DFT (PBE) results for a geometry-optimized NiRu2 structure.

Calculated values
The crystal system is monoclinic. The electronic total energy is -95.833 eV per cell. The energy of formation from the pure elements is 0.12 eV/atom. The total magnetic moment comes out at 0.00 μB/cell. For the distance to the lowest polymorph of the same formula, the calculation gives 78 meV per atom.

Structure (CIF):
```
data_NiRu2
_cell_length_a 9.603
_cell_length_b 2.702
_cell_length_c 6.228
_cell_angle_alpha 90.00
_cell_angle_beta 103.62
_cell_angle_gamma 90.00
_symmetry_space_group_name_H-M 'C 1 m 1'
_symmetry_Int_Tables_number 8
_symmetry_space_group_name_Hall 'C -2y'
loop_
_atom_site_label
_atom_site_type_symbol
_atom_site_fract_x
_atom_site_fract_y
_atom_site_fract_z
Ni1 Ni 0.000 0.000 0.000
Ni2 Ni 0.168 0.500 0.333
Ru1 Ru 0.055 0.000 0.608
Ru2 Ru 0.223 0.500 0.945
Ru3 Ru 0.335 0.000 0.669
Ru4 Ru 0.386 0.000 0.272
```


Entry 15:
DFT (PBE) results for a geometry-optimized Be2CoNiH structure.

Calculated values
The crystal system is tetragonal. The electronic total energy is -24.224 eV per cell. The total magnetic moment comes out at 0.00 μB/cell. For the distance to the lowest polymorph of the same formula, the calculation gives 55 meV per atom.

Structure (CIF):
```
data_Be2CoNiH
_cell_length_a 3.591
_cell_length_b 3.591
_cell_length_c 3.023
_cell_angle_alpha 90.00
_cell_angle_beta 90.00
_cell_angle_gamma 90.00
_symmetry_space_group_name_H-M 'P 4/m m m'
_symmetry_Int_Tables_number 123
_symmetry_space_group_name_Hall '-P 4 2'
loop_
_atom_site_label
_atom_site_type_symbol
_atom_site_fract_x
_atom_site_fract_y
_atom_site_fract_z
Be1 Be 0.000 0.500 0.000
Co1 Co 0.000 0.000 0.500
Ni1 Ni 0.500 0.500 0.500
H1 H 0.500 0.500 0.000
```